## ZrAgSb2Te (PBE)

Data for a relaxed structure of ZrAgSb2Te.

a = 5.5669 Å, b = 5.5669 Å, c = 5.5455 Å
α = 90.00°, β = 90.00°, γ = 90.00°
With the nearest neighbours (Å) after each atom.
Element x y z (fractional)
Sb 0.0000 0.5000 0.0000  2 Zr 2.78
Sb 0.5000 0.0000 0.0000  2 Zr 2.78
Te 0.0000 0.0000 0.5000  2 Zr 2.77
Zr 0.0000 0.0000 0.0000  2 Te 2.77, 4 Sb 2.78
Ag 0.5000 0.5000 0.5000  8 Sb 3.93, 4 Te 3.94

Summary:
Total magnetic moment = 0.00 μB per formula unit
Symmetry = No. 123
Density of states at the Fermi level = 4.49 states/eV/f.u.
Offset from the most stable computed form = 0 kJ/mol of formula units
Formation energy (no corrections) = 316 meV/atom